Material: Rb3InBr8
Method: DFT, GGA-PBE
State: optimized geometry

POSCAR file:
```
Rb3InBr8
1.0
-3.895 3.895 7.895
3.895 -3.895 7.895
3.895 3.895 -7.895
Rb In Br
3 1 8
Direct
0.000 0.000 0.000
0.250 0.750 0.500
0.750 0.250 0.500
0.500 0.500 0.000
0.174 0.174 0.566
0.174 0.608 0.000
0.392 0.392 0.566
0.392 0.826 0.000
0.608 0.174 0.000
0.608 0.608 0.434
0.826 0.392 0.000
0.826 0.826 0.434
```

Properties
Its total moment is 1.25 μB per cell. The calculation puts the uncorrected formation energy at -0.9063 eV per atom. Its space group is I4/mmm.